Entry from Alexandria: a relaxed Ga2Cu2Au crystal (PBE).

Cell: 4.5798 2.9000 6.2332 Å, 90.00 111.31 90.00°
Closest atoms and distances in Å follow each position.
Space group Pm (No. 6)
One atom of each set of equivalent atoms:
Ga: 0.0000 0.0000 0.0000 (multiplicity 1)  4 Cu 2.62-2.70, 1 Au 2.66, 6 Ga 2.84-2.90
Ga: 0.4272 0.5000 0.8520 (multiplicity 1)  4 Cu 2.60-2.69, 2 Au 2.71, 6 Ga 2.84-2.90
Cu: 0.6140 0.0000 0.2236 (multiplicity 1)  4 Ga 2.60-2.65, 2 Au 2.66, 4 Cu 2.66-2.90
Cu: 0.8059 0.5000 0.6087 (multiplicity 1)  4 Cu 2.66-2.90, 4 Ga 2.69-2.70, 4 Au 2.85
Au: 0.2300 0.0000 0.4573 (multiplicity 1)  3 Ga 2.66-2.71, 6 Cu 2.66-2.85, 2 Au 2.90

- ΔE to the lowest computed polymorph: 26 meV per atom